DFT (meta-GGA SCAN) results for a crystal of BaCaPt2 relaxed with PBEsol.

abc: 7.047 7.047 7.047
angles: 90.00 90.00 90.00
Space group F-43m (No. 216)
Symmetry-distinct sites (fractional):
Ba (0.000, 0.000, 0.000)
Ca (0.250, 0.250, 0.250)
Pt (0.000, 0.000, 0.500)
Pt (0.250, 0.250, 0.750)

Values from the calculation:
**M_tot**: 0.00 μB/cell
**V**: 21.9 Å³/atom
**Excess energy over the best structure of this formula in the dataset**: 0.420 eV per atom

DFT (meta-GGA SCAN) results for a crystal of InSbRh2 relaxed with PBEsol.

abc: 3.302 3.302 6.153
angles: 90.00 90.00 90.00
Space group P4/mmm (No. 123)
Symmetry-distinct sites (fractional):
In (0.000, 0.000, 0.000)
Sb (0.000, 0.000, 0.500)
Rh (0.500, 0.500, 0.256)

Values from the calculation:
**M_tot**: 0.00 μB/cell
**Formation energy without anion corrections**: -0.2651 eV per atom
**V**: 16.8 Å³/atom

DFT (meta-GGA SCAN) results for a crystal of InPtRh2 relaxed with PBEsol.

abc: 9.120 2.855 4.756
angles: 90.00 100.90 90.00
Space group Cm (No. 8)
Symmetry-distinct sites (fractional):
In (0.000, 0.000, 0.000)
Pt (0.247, 0.000, 0.739)
Rh (0.250, 0.500, 0.264)
Rh (0.497, 0.000, 0.493)

Values from the calculation:
**Raw total energy**: -343.8 eV per cell
**M_tot**: 0.00 μB/cell
**V**: 15.2 Å³/atom

DFT (meta-GGA SCAN) results for a crystal of Zr5P relaxed with PBEsol.

abc: 4.079 13.190 4.388
angles: 90.00 90.00 90.00
Space group Cmmm (No. 65)
Symmetry-distinct sites (fractional):
Zr (0.000, 0.000, 0.000)
Zr (0.000, 0.145, 0.500)
Zr (0.000, 0.344, 0.000)
P (0.000, 0.500, 0.500)

Values from the calculation:
**M_tot**: 0.00 μB/cell
**V**: 19.7 Å³/atom
**Excess energy over the best structure of this formula in the dataset**: 0.094 eV per atom

DFT (meta-GGA SCAN) results for a crystal of TlMoP2 relaxed with PBEsol.

abc: 3.319 4.273 4.712
angles: 90.00 90.00 90.00
Space group Pmmm (No. 47)
Symmetry-distinct sites (fractional):
Tl (0.000, 0.000, 0.000)
Mo (0.500, 0.000, 0.500)
P (0.000, 0.500, 0.500)
P (0.500, 0.500, 0.000)

Values from the calculation:
**M_tot**: 0.00 μB/cell
**V**: 16.7 Å³/atom
**Excess energy over the best structure of this formula in the dataset**: 0.778 eV per atom

DFT (meta-GGA SCAN) results for a crystal of SrP2Se relaxed with PBEsol.

abc: 10.027 3.521 5.409
angles: 90.00 119.08 90.00
Space group Cm (No. 8)
Symmetry-distinct sites (fractional):
Sr (0.000, 0.000, 0.000)
P (0.044, 0.500, 0.552)
P (0.207, 0.000, 0.654)
Se (0.306, 0.500, 0.326)

Values from the calculation:
**M_tot**: 0.00 μB/cell
**Formation energy without anion corrections**: -0.5236 eV per atom
**V**: 20.9 Å³/atom